# 1
LiIn12Ga6 | GGA-PBE | relaxed

Cell and atoms, written as POSCAR:
```
LiIn12Ga6
1.0
6.495 3.750 3.197
-6.495 3.750 3.197
0.000 -7.499 3.197
Li In Ga
1 12 6
direct
0.000 0.000 0.000
0.034 0.695 0.152
0.152 0.034 0.695
0.191 0.461 0.639
0.305 0.848 0.966
0.361 0.809 0.539
0.461 0.639 0.191
0.539 0.361 0.809
0.639 0.191 0.461
0.695 0.152 0.034
0.809 0.539 0.361
0.848 0.966 0.305
0.966 0.305 0.848
0.124 0.384 0.252
0.252 0.124 0.384
0.384 0.252 0.124
0.616 0.748 0.876
0.748 0.876 0.616
0.876 0.616 0.748
```

Its formation energy is 0.0166 eV/atom. The space group is R-3, No. 148. Its crystal system is trigonal. The calculation puts the volume at 467.13 Å³/cell. The raw total energy comes out at -2.770 eV/atom.

# 2
CuTc2Mo | GGA-PBE | relaxed

Cell and atoms, written as POSCAR:
```
CuTc2Mo
1.0
0.000 3.070 3.070
3.070 0.000 3.070
3.070 3.070 0.000
Cu Tc Mo
1 2 1
direct
0.000 0.000 0.000
0.500 0.500 0.500
0.750 0.750 0.750
0.250 0.250 0.250
```

Its formation energy is 0.3056 eV/atom. The value obtained for the energy above the lowest structure with this stoichiometry is 0.158 eV/atom. The space group is F-43m, No. 216. Its crystal system is cubic. The calculation puts the volume at 57.85 Å³/cell. The raw total energy comes out at -8.609 eV/atom.